DFT (PBE-GGA) results for a geometry-optimized Ti3PtN structure.

Properties
Formation energy (no corrections) (meV per atom): -1113
Crystal system: monoclinic
M_tot (μB/cell): 0.0
Calculated volume (Å³ per cell): 275.89

Geometry as POSCAR:
```
Ti3PtN
1.0
-3.8902 -0.7647 -9.7251
-6.0293 -3.9853 -1.7226
-4.1962 1.0190 6.0462
N Pt Ti
4 4 12
Direct
0.7500 0.1859 0.6859 N
0.2500 0.8141 0.3141 N
0.7500 0.4513 0.9513 N
0.2500 0.5487 0.0487 N
0.0761 0.5010 0.3697 Pt
0.4239 0.8697 0.0010 Pt
0.9239 0.4990 0.6303 Pt
0.5761 0.1303 0.9990 Pt
0.4023 0.4052 0.4549 Ti
0.0977 0.9549 0.9052 Ti
0.5977 0.5948 0.5451 Ti
0.9023 0.0451 0.0948 Ti
0.0921 0.2248 0.1513 Ti
0.4079 0.6513 0.7248 Ti
0.9079 0.7752 0.8487 Ti
0.5921 0.3487 0.2752 Ti
0.5571 0.8863 0.7719 Ti
0.9429 0.2719 0.3863 Ti
0.4429 0.1137 0.2281 Ti
0.0571 0.7281 0.6137 Ti
```

***

DFT (PBE-GGA) results for a geometry-optimized Mn2GaBr structure.

Properties
Formation energy (no corrections) (meV per atom): 393
Crystal system: tetragonal
M_tot (μB/cell): 16.1
Calculated volume (Å³ per cell): 155.34

Geometry as POSCAR:
```
Mn2GaBr
1.0
7.1585 0.0000 0.0000
0.0000 7.1585 0.0000
3.5793 3.5793 3.0314
Mn Ga Br
4 2 2
Direct
0.6196 0.1250 0.2500 Mn
0.1304 0.6250 0.2500 Mn
0.3750 0.3804 0.7500 Mn
0.8750 0.8696 0.7500 Mn
0.5000 0.5000 0.0000 Ga
0.2500 0.7500 0.5000 Ga
0.0000 0.0000 0.0000 Br
0.7500 0.2500 0.5000 Br
```

***

DFT (PBE-GGA) results for a geometry-optimized ScGa2Re2 structure.

Properties
Formation enthalpy at 0 K (eV per atom): -0.0358
Crystal system: tetragonal
M_tot (μB/cell): 0.0
Calculated volume (Å³ per cell): 159.42

Geometry as POSCAR:
```
ScGa2Re2
1.0
7.0319 0.0000 0.0000
0.0000 7.0319 0.0000
0.0000 0.0000 3.2240
Sc Re Ga
2 4 4
Direct
0.0000 0.0000 0.0000 Sc
0.5000 0.5000 0.0000 Sc
0.1572 0.6572 0.5000 Re
0.6572 0.8428 0.5000 Re
0.8428 0.3428 0.5000 Re
0.3428 0.1572 0.5000 Re
0.3637 0.8637 0.0000 Ga
0.8637 0.6363 0.0000 Ga
0.6363 0.1363 0.0000 Ga
0.1363 0.3637 0.0000 Ga
```

***

DFT (PBE-GGA) results for a geometry-optimized Y6Pd2S structure.

Properties
Formation energy (no corrections) (meV per atom): -839
Crystal system: monoclinic
M_tot (μB/cell): 0.0
Calculated volume (Å³ per cell): 477.22

Geometry as POSCAR:
```
Y6Pd2S
1.0
6.5357 0.0000 0.0018
0.0000 7.2576 0.0000
0.3312 0.0000 10.0608
Y Pd S
12 4 2
Direct
0.1488 0.0364 0.2461 Y
0.1735 0.3283 0.5677 Y
0.1618 0.3127 0.9334 Y
0.3382 0.8127 0.5666 Y
0.3265 0.8283 0.9323 Y
0.3512 0.5364 0.2539 Y
0.8512 0.9636 0.7539 Y
0.8265 0.6717 0.4323 Y
0.8382 0.6873 0.0666 Y
0.6618 0.1873 0.4334 Y
0.6735 0.1717 0.0677 Y
0.6488 0.4636 0.7461 Y
0.0605 0.6130 0.7579 Pd
0.4395 0.1130 0.7421 Pd
0.5605 0.8870 0.2579 Pd
0.9395 0.3870 0.2421 Pd
0.5000 0.5000 0.0000 S
0.0000 0.0000 0.5000 S
```

***

Question: What is the formula in the third record?
Answer: ScGa2Re2